Here is a relaxed structure of Li2PtAu3 from Alexandria via LeMat-Bulk. Energies are from PBE.

## Properties
As for the total energy: -43.925 eV/cell. As for the formation energy from the elements: -0.377 eV per atom.

a b c (Å): 4.0692 5.5841 8.5361
angles (deg): 90.00 90.00 90.00
Element x y z (fractional)
Li1 0.5000 0.6284 0.8332
Li2 0.0000 0.3716 0.6668
Li3 0.5000 0.6284 0.1668
Li4 0.0000 0.3716 0.3332
Pt1 0.5000 0.6322 0.5000
Pt2 0.0000 0.3678 0.0000
Au1 0.5000 0.1474 0.5000
Au2 0.0000 0.8526 0.0000
Au3 0.0000 0.8581 0.3293
Au4 0.5000 0.1419 0.1707
Au5 0.0000 0.8581 0.6707
Au6 0.5000 0.1419 0.8293


Here is a relaxed structure of LiPt3Au from Alexandria via LeMat-Bulk. Energies are from PBE.

## Properties
As for the total energy: -21.054 eV/cell. Its relative energy among the computed polymorphs is 0 meV per atom. As for the formation energy from the elements: 0.452 eV per atom.

a b c (Å): 4.2716 4.2716 4.2716
angles (deg): 90.00 90.00 90.00
Element x y z (fractional)
Au1 0.5000 0.5000 0.5000
Pt1 0.0000 0.5000 0.0000
Pt2 0.0000 0.0000 0.5000
Pt3 0.5000 0.0000 0.0000
Li1 0.0000 0.0000 0.0000


Here is a relaxed structure of LiPtAu2 from Alexandria via LeMat-Bulk. Energies are from PBE.

## Properties
As for the total energy: -15.345 eV/cell. As for the formation energy from the elements: -0.209 eV per atom.

a b c (Å): 9.4032 9.4032 9.4032
angles (deg): 17.33 17.33 17.33
Element x y z (fractional)
Au1 0.9953 0.9953 0.9953
Au2 0.5047 0.5047 0.5047
Li1 0.2500 0.2500 0.2500
Pt1 0.7500 0.7500 0.7500